Entry 1:
DFT (PBE-GGA) results for an optimized crystal structure of NaSn2Ge2.

Geometry as extended XYZ:
```
5
Lattice="-2.2214 2.2214 6.9657 2.2214 -2.2214 6.9657 2.2214 2.2214 -6.9657" Properties=species:S:1:pos:R:3 pbc="T T T"
Na 0.0000 0.0000 0.0000
Sn 0.0000 0.0000 5.3464
Sn 0.0000 0.0000 8.5849
Ge 2.2214 0.0000 3.4828
Ge 0.0000 2.2214 3.4828
```

## Properties
symmetry	I4/mmm
energy above the lowest structure with this stoichiometry	56.6	meV/atom
calculated formation energy	0.075	eV/atom

***

Entry 2:
DFT (PBE-GGA) results for an optimized crystal structure of AsOsRhSe2.

Geometry as extended XYZ:
```
5
Lattice="4.9081 0.0000 0.0000 0.0000 4.9081 0.0000 0.0000 0.0000 4.6413" Properties=species:S:1:pos:R:3 pbc="T T T"
As 0.0000 0.0000 0.0000
Os 0.0000 0.0000 2.3206
Rh 2.4540 2.4540 0.0000
Se 0.0000 2.4540 2.3206
Se 2.4540 0.0000 2.3206
```

## Properties
symmetry	P4/mmm
energy above the lowest structure with this stoichiometry	0.0	meV/atom
formation energy (no corrections)	1043	meV per atom

***

Final energy in eV per atom, matching the order above: -3.637; -4.997
Spin magnetization in μB/cell, matching the order above: 0.000; 0.813
Mass density in kg/m3, matching the order above: 4900; 7812